## K2LaAl (PBE)

Data for an optimized crystal structure of K2LaAl.

a b c (Å): 3.9230 3.9231 12.3517
angles (deg): 71.79 90.00 90.00
Fractional positions:
K1 0.5000 0.2159 0.2754
K2 0.0000 0.0799 0.9262
La1 0.0000 0.4159 0.5844
Al1 0.5000 0.7883 0.7141

As for the space-group type: Pm, No. 6. As for the calculated total energy: -10.432 eV per cell. As for the formation energy: 108.4 meV/atom. As for the crystal system: monoclinic.

***

## K2LaAl (PBE)

Data for an optimized crystal structure of K2LaAl.

a b c (Å): 8.3634 8.3634 8.3634
angles (deg): 154.40 133.26 54.05
Fractional positions:
La1 0.4249 0.4249 0.0000
K1 0.0610 0.0610 0.0000
K2 0.7480 0.2480 0.5000
Al1 0.2661 0.7661 0.5000

As for the space-group type: Imm2, No. 44. As for the calculated total energy: -9.515 eV per cell. As for the formation energy: 337.4 meV/atom. As for the crystal system: orthorhombic.

***

## KLaAl3 (PBE)

Data for an optimized crystal structure of KLaAl3.

a b c (Å): 5.3355 5.3355 5.3355
angles (deg): 90.00 90.00 90.00
Fractional positions:
Al1 0.0000 0.0000 0.5000
Al2 0.5000 0.0000 0.0000
Al3 0.0000 0.5000 0.0000
La1 0.5000 0.5000 0.5000
K1 0.0000 0.0000 0.0000

As for the space-group type: Pm-3m, No. 221. As for the calculated total energy: -12.338 eV per cell. For the offset from the most stable computed form, the calculation gives 198 meV per atom. As for the formation energy: 982.9 meV/atom. As for the crystal system: cubic.